No. 1
DFT (PBE) results for LaNd5Sm8 after structural relaxation.

Results
Crystal system ... tetragonal

Cell lengths 8.6316, 8.6316, 8.6316 Å; angles 111.70, 105.10, 111.70 degrees
Fractional coordinates of all 14 atoms:
Sm 0.6796 0.3951 0.9280
Sm 0.7155 0.2484 0.3204
Nd 0.8183 0.6805 0.7164
Sm 0.3348 0.2606 0.4348
Sm 0.1742 0.7394 0.0742
Nd 0.0359 0.3195 0.1379
Nd 0.5000 0.0000 0.5000
Sm 0.9258 0.1000 0.6652
Sm 0.5652 0.9000 0.8258
La 0.2500 0.5000 0.7500
Nd 0.2836 0.1019 0.9641
Sm 0.0720 0.7516 0.4671
Sm 0.5329 0.6049 0.2845
Nd 0.8621 0.8981 0.1817

No. 2
DFT (PBE) results for La4Nd2Sm after structural relaxation.

Results
Crystal system ... orthorhombic

Cell lengths 6.9972, 9.2369, 9.2369 Å; angles 79.19, 67.74, 67.74 degrees
Fractional coordinates of all 14 atoms:
Nd 0.5000 0.5000 0.5000
La 0.8538 0.6448 0.6476
Nd 0.2810 0.9690 0.4690
La 0.2130 0.7556 0.2556
La 0.1462 0.3552 0.3524
La 0.7870 0.2444 0.7444
Nd 0.5000 0.0000 0.0000
La 0.2242 0.2444 0.7444
La 0.7758 0.7556 0.2556
Sm 0.0000 0.5000 0.0000
Sm 0.5000 0.5000 0.0000
Nd 0.7190 0.0310 0.5310
La 0.1462 0.8524 0.8552
La 0.8538 0.1476 0.1448

No. 3
DFT (PBE) results for La6Nd12Sm after structural relaxation.

Results
Crystal system ... trigonal

Cell lengths 8.8199, 8.8199, 8.8199 Å; angles 89.69, 89.69, 89.69 degrees
Fractional coordinates of all 19 atoms:
Nd 0.4671 0.5632 0.2198
Nd 0.6382 0.9793 0.8131
Nd 0.7802 0.5329 0.4368
Sm 0.0000 0.0000 0.0000
La 0.7352 0.9058 0.3017
Nd 0.5632 0.2198 0.4671
Nd 0.1869 0.3618 0.0207
Nd 0.4368 0.7802 0.5329
Nd 0.8131 0.6382 0.9793
La 0.3017 0.7352 0.9058
La 0.2648 0.0942 0.6983
La 0.0942 0.6983 0.2648
La 0.9058 0.3017 0.7352
Nd 0.3618 0.0207 0.1869
Nd 0.0207 0.1869 0.3618
La 0.6983 0.2648 0.0942
Nd 0.5329 0.4368 0.7802
Nd 0.9793 0.8131 0.6382
Nd 0.2198 0.4671 0.5632

No. 4
DFT (PBE) results for La8NdSm6 after structural relaxation.

Results
Crystal system ... trigonal

Cell lengths 9.9710, 9.9710, 8.4464 Å; angles 53.82, 53.82, 60.00 degrees
Fractional coordinates of all 15 atoms:
La 0.3733 0.0511 0.7089
Sm 0.5601 0.3850 0.2296
La 0.1333 0.6267 0.2911
La 0.2432 0.2432 0.2705
Sm 0.1748 0.4399 0.7704
La 0.7568 0.7568 0.7295
La 0.0511 0.8667 0.7089
La 0.8667 0.3733 0.7089
La 0.9489 0.1333 0.2911
Sm 0.3850 0.8252 0.2296
La 0.6267 0.9489 0.2911
Sm 0.6150 0.1748 0.7704
Sm 0.8252 0.5601 0.2296
Nd 0.0000 0.0000 0.0000
Sm 0.4399 0.6150 0.7704

No. 5
DFT (PBE) results for La7Nd3Sm after structural relaxation.

Results
Crystal system ... monoclinic

Cell lengths 6.0970, 8.7211, 8.7211 Å; angles 83.28, 110.28, 110.28 degrees
Fractional coordinates of all 11 atoms:
La 0.3016 0.5957 0.0079
La 0.3016 0.0079 0.5957
La 0.7910 0.7895 0.7895
La 0.0000 0.5000 0.5000
Nd 0.5000 0.0000 0.0000
Sm 0.5000 0.5000 0.5000
Nd 0.0000 0.7926 0.2074
La 0.2090 0.2105 0.2105
La 0.6984 0.4043 0.9921
La 0.6984 0.9921 0.4043
Nd 0.0000 0.2074 0.7926

No. 6
DFT (PBE) results for LaNd2Sm3 after structural relaxation.

Results
Crystal system ... trigonal

Cell lengths 8.9813, 7.3347, 7.3347 Å; angles 120.00, 90.00, 90.00 degrees
Fractional coordinates of all 12 atoms:
Sm 0.6665 0.8336 0.1664
Sm 0.6665 0.3328 0.1664
Nd 0.0000 0.0000 0.5000
Nd 0.0000 0.0000 0.0000
La 0.3342 0.6667 0.3333
Sm 0.3335 0.6672 0.8336
Sm 0.6665 0.8336 0.6672
Sm 0.3335 0.1664 0.8336
Nd 0.0000 0.5000 0.5000
La 0.6658 0.3333 0.6667
Sm 0.3335 0.1664 0.3328
Nd 0.0000 0.5000 0.0000

No. 7
DFT (PBE) results for La3Nd4Sm after structural relaxation.

Results
Crystal system ... orthorhombic

Cell lengths 7.3853, 7.3624, 10.4975 Å; angles 90.00, 90.00, 90.00 degrees
Fractional coordinates of all 16 atoms:
Nd 0.8137 0.2519 0.5000
La 0.5645 0.0000 0.7499
La 0.0645 0.0000 0.7501
Sm 0.8150 0.2514 0.0000
Nd 0.3137 0.7481 0.0000
Nd 0.0644 0.5000 0.7500
La 0.8136 0.7480 0.0000
Sm 0.3150 0.7486 0.5000
Nd 0.5644 0.5000 0.7500
Nd 0.0644 0.5000 0.2500
La 0.0645 0.0000 0.2499
La 0.5645 0.0000 0.2501
Nd 0.8152 0.7484 0.5000
La 0.3136 0.2520 0.5000
Nd 0.3152 0.2516 0.0000
Nd 0.5644 0.5000 0.2500

No. 8
DFT (PBE) results for La7Nd2Sm after structural relaxation.

Results
Crystal system ... orthorhombic

Cell lengths 5.6687, 9.3447, 9.3447 Å; angles 121.87, 90.00, 90.00 degrees
Each line ends with the local moment (μB).
Fractional coordinates of all 10 atoms:
La 0.5000 0.9280 0.6991  -0.03
La 0.0000 0.7587 0.2412  0.00
Nd 0.5000 0.2998 0.7002  0.00
Nd 0.5000 0.7002 0.2998  0.00
La 0.5000 0.5000 0.5000  -0.02
La 0.5000 0.6991 0.9280  -0.03
La 0.0000 0.2413 0.7588  0.00
La 0.5000 0.0720 0.3009  -0.03
Sm 0.0000 0.0000 0.0000  -0.12
La 0.5000 0.3009 0.0720  -0.03

We obtain electronic total energy values of -4.5335 -4.6597 -4.7011 -4.7118 -4.6714 -4.7561 -4.8088 -4.3249 eV per atom for the records listed above, in that order.